PBE-GGA Hf3VS, optimized geometry; calculated density = 9.65 g/cm3; volume = 21.3 A^3/atom; VASP energy = -43.577 eV/cell; magnetic moment = 2.4 μB per cell; distance to the lowest polymorph of the same formula = 342 meV per atom
1.0
4.739 0.000 0.000
0.000 4.739 0.000
0.000 0.000 4.739
Hf V S
3 1 1
Cartesian
0.000 0.000 2.370
0.000 2.370 0.000
2.370 0.000 0.000
2.370 2.370 2.370
0.000 0.000 0.000